No. 1
Below is a relaxed NbP3N crystal, with properties calculated at the PBE-GGA level.

Computed properties:
space group: Pm-3m
E above lowest polymorph: 868.4 meV/atom

Lattice parameters (Å, degrees): 4.8240 4.8240 4.8240 90.00 90.00 90.00
Site moments in Bohr magnetons follow the coordinates.
Sites, in units of the cell vectors:
N (0.5000, 0.5000, 0.5000)  1.72
P (0.0000, 0.5000, 0.0000)  -0.17
P (0.5000, 0.0000, 0.0000)  -0.12
P (0.0000, 0.0000, 0.5000)  -0.30
Nb (0.0000, 0.0000, 0.0000)  0.18

No. 2
Below is a relaxed Nb2PN crystal, with properties calculated at the PBE-GGA level.

Computed properties:
space group: Fm-3m
E above lowest polymorph: 185.8 meV/atom

Lattice parameters (Å, degrees): 4.2096 4.2096 4.2096 60.00 60.00 60.00
Sites, in units of the cell vectors:
Nb (0.2500, 0.2500, 0.2500)
Nb (0.7500, 0.7500, 0.7500)
P (0.5000, 0.5000, 0.5000)
N (0.0000, 0.0000, 0.0000)

No. 3
Below is a relaxed NbPN crystal, with properties calculated at the PBE-GGA level.

Computed properties:
space group: Pnma

Lattice parameters (Å, degrees): 2.7460 4.9165 12.4840 90.00 90.00 90.00
Sites, in units of the cell vectors:
N (0.7500, 0.2590, 0.6291)
N (0.7500, 0.2410, 0.1291)
N (0.2500, 0.7410, 0.3709)
N (0.2500, 0.7590, 0.8709)
P (0.7500, 0.5288, 0.9019)
P (0.2500, 0.4712, 0.0981)
P (0.2500, 0.0288, 0.5981)
P (0.7500, 0.9712, 0.4019)
Nb (0.2500, 0.9085, 0.2076)
Nb (0.2500, 0.5915, 0.7076)
Nb (0.7500, 0.0915, 0.7924)
Nb (0.7500, 0.4085, 0.2924)

No. 4
Below is a relaxed Pa2NbPN8 crystal, with properties calculated at the PBE-GGA level.

Computed properties:
space group: P-3m1

Lattice parameters (Å, degrees): 4.9805 4.9805 6.1539 90.00 90.00 120.00
Site moments in Bohr magnetons follow the coordinates.
Sites, in units of the cell vectors:
Nb (0.0000, 0.0000, 0.5000)  -0.08
P (0.0000, 0.0000, 0.0000)  0.01
N (0.3333, 0.6667, 0.5211)  0.38
N (0.6667, 0.3333, 0.4789)  0.38
N (0.8415, 0.1585, 0.8143)  0.12
N (0.6829, 0.8415, 0.1857)  0.12
N (0.1585, 0.8415, 0.1857)  0.12
N (0.8415, 0.6829, 0.8143)  0.12
N (0.3171, 0.1585, 0.8143)  0.12
N (0.1585, 0.3171, 0.1857)  0.12
Pa (0.3333, 0.6667, 0.8392)  0.25
Pa (0.6667, 0.3333, 0.1608)  0.25

No. 5
Below is a relaxed PaNbPN5 crystal, with properties calculated at the PBE-GGA level.

Computed properties:
space group: C2/c

Lattice parameters (Å, degrees): 5.5241 5.5241 6.8714 90.98 90.98 110.40
Sites, in units of the cell vectors:
N (0.5655, 0.3464, 0.0729)
N (0.6657, 0.9603, 0.2697)
N (0.6536, 0.4345, 0.4271)
N (0.4345, 0.6536, 0.9271)
N (0.8603, 0.1397, 0.7500)
N (0.3343, 0.0397, 0.7303)
N (0.3464, 0.5655, 0.5729)
N (0.9603, 0.6657, 0.7697)
N (0.0397, 0.3343, 0.2303)
N (0.1397, 0.8603, 0.2500)
Pa (0.0000, 0.0000, 0.0000)
Pa (0.0000, 0.0000, 0.5000)
P (0.7241, 0.2759, 0.2500)
P (0.2759, 0.7241, 0.7500)
Nb (0.4089, 0.5911, 0.2500)
Nb (0.5911, 0.4089, 0.7500)

No. 6
Below is a relaxed NbP2SN crystal, with properties calculated at the PBE-GGA level.

Computed properties:
space group: P4/mmm
E above lowest polymorph: 0.0 meV/atom

Lattice parameters (Å, degrees): 3.9668 3.9668 4.2180 90.00 90.00 90.00
Sites, in units of the cell vectors:
S (0.0000, 0.0000, 0.5000)
P (0.5000, 0.0000, 0.0000)
P (0.0000, 0.5000, 0.0000)
N (0.0000, 0.0000, 0.0000)
Nb (0.5000, 0.5000, 0.5000)

No. 7
Below is a relaxed NbP2SN crystal, with properties calculated at the PBE-GGA level.

Computed properties:
space group: P4/mmm
E above lowest polymorph: 628.3 meV/atom

Lattice parameters (Å, degrees): 4.8785 4.8785 4.7487 90.00 90.00 90.00
Site moments in Bohr magnetons follow the coordinates.
Sites, in units of the cell vectors:
N (0.5000, 0.5000, 0.5000)  1.76
P (0.0000, 0.5000, 0.0000)  -0.25
P (0.5000, 0.0000, 0.0000)  -0.25
Nb (0.0000, 0.0000, 0.0000)  0.22
S (0.0000, 0.0000, 0.5000)  -0.05

No. 8
Below is a relaxed NbPSeN2 crystal, with properties calculated at the PBE-GGA level.

Computed properties:
space group: P4/mmm
E above lowest polymorph: 0.0 meV/atom

Lattice parameters (Å, degrees): 3.9734 3.9734 5.6026 90.00 90.00 90.00
Site moments in Bohr magnetons follow the coordinates.
Sites, in units of the cell vectors:
P (0.5000, 0.5000, 0.5000)  0.35
N (0.5000, 0.0000, 0.0000)  -0.24
N (0.0000, 0.5000, 0.0000)  -0.24
Nb (0.0000, 0.0000, 0.0000)  0.10
Se (0.0000, 0.0000, 0.5000)  -0.02

No. 9
Below is a relaxed NbPSe2N crystal, with properties calculated at the PBE-GGA level.

Computed properties:
space group: P4/mmm
E above lowest polymorph: 52.2 meV/atom

Lattice parameters (Å, degrees): 4.9981 4.9981 3.2780 90.00 90.00 90.00
Site moments in Bohr magnetons follow the coordinates.
Sites, in units of the cell vectors:
Nb (0.5000, 0.5000, 0.5000)  1.44
Se (0.5000, 0.0000, 0.0000)  -0.05
Se (0.0000, 0.5000, 0.0000)  -0.05
N (0.0000, 0.0000, 0.5000)  0.05
P (0.0000, 0.0000, 0.0000)  0.05

No. 10
Below is a relaxed NbPSe2N crystal, with properties calculated at the PBE-GGA level.

Computed properties:
space group: P4/mmm
E above lowest polymorph: 0.0 meV/atom

Lattice parameters (Å, degrees): 5.1659 5.1659 3.8579 90.00 90.00 90.00
Site moments in Bohr magnetons follow the coordinates.
Sites, in units of the cell vectors:
Se (0.5000, 0.0000, 0.0000)  -0.02
Se (0.0000, 0.5000, 0.0000)  -0.02
N (0.0000, 0.0000, 0.5000)  -0.01
Nb (0.0000, 0.0000, 0.0000)  0.07
P (0.5000, 0.5000, 0.5000)  0.10

No. 11
Below is a relaxed NbPSeN2 crystal, with properties calculated at the PBE-GGA level.

Computed properties:
space group: P4/mmm
E above lowest polymorph: 313.0 meV/atom

Lattice parameters (Å, degrees): 3.6421 3.6421 4.8099 90.00 90.00 90.00
Sites, in units of the cell vectors:
Nb (0.5000, 0.5000, 0.5000)
N (0.5000, 0.0000, 0.0000)
N (0.0000, 0.5000, 0.0000)
P (0.0000, 0.0000, 0.0000)
Se (0.0000, 0.0000, 0.5000)

No. 12
Below is a relaxed Sr2NbPN5 crystal, with properties calculated at the PBE-GGA level.

Computed properties:
space group: Cmc2_1

Lattice parameters (Å, degrees): 3.1802 7.3292 11.5832 90.00 90.00 102.53
Site moments in Bohr magnetons follow the coordinates.
Sites, in units of the cell vectors:
Sr (0.0915, 0.1829, 0.6576)  0.00
Sr (0.8562, 0.7124, 0.8299)  0.00
Sr (0.1438, 0.2876, 0.3299)  0.00
Sr (0.9085, 0.8171, 0.1576)  0.00
P (0.4408, 0.8817, 0.4162)  -0.01
P (0.5592, 0.1183, 0.9162)  -0.01
N (0.5021, 0.0041, 0.7993)  0.11
N (0.4979, 0.9959, 0.2993)  0.11
N (0.7076, 0.4152, 0.1586)  0.07
N (0.6733, 0.3465, 0.9154)  0.13
N (0.3267, 0.6535, 0.4154)  0.13
N (0.6613, 0.3225, 0.5082)  0.09
N (0.3387, 0.6775, 0.0082)  0.09
N (0.0392, 0.0784, 0.9920)  0.17
N (0.9608, 0.9216, 0.4920)  0.17
N (0.2924, 0.5848, 0.6586)  0.07
Nb (0.7874, 0.5748, 0.5468)  -0.03
Nb (0.2126, 0.4252, 0.0468)  -0.03

no.,volume (Å³/atom),formation energy from raw total energies (eV per atom),calculated density (g/cm3)
1,22.45,1.394,2.96
2,13.19,-0.242,7.27
3,14.05,-0.028,5.43
4,11.02,0.081,8.77
5,12.28,-0.798,7.18
6,13.27,0.599,5.03
7,22.60,1.227,2.95
8,17.69,0.663,4.33
9,16.38,0.509,6.00
10,20.59,0.457,4.77
11,12.76,0.976,6.01
12,14.64,-0.652,4.65